First-principles (PBE-GGA) data for a relaxed structure of Pr2Sm2Bi2C, as listed in the Alexandria database.

Summary:
Magnetic moment = 0.00 μB per formula unit
Formation enthalpy at 0 K = -0.63 eV/atom

a = 4.9897 Å, b = 4.9897 Å, c = 9.0640 Å
α = 105.98°, β = 105.98°, γ = 90.00°
Last column: nearest neighbours and their distance in Å.
Fractional coordinates of all 7 atoms:
1 Pr 0.1572 0.1572 0.3143  1 C 2.62
2 Pr 0.8428 0.8428 0.6857  1 C 2.62
3 Sm 0.0000 0.5000 0.0000  2 C 2.49
4 Sm 0.5000 0.0000 0.0000  2 C 2.49
5 Bi 0.3596 0.3596 0.7193  5 Pr 3.38-3.54, 4 Sm 3.42
6 Bi 0.6404 0.6404 0.2807  5 Pr 3.38-3.54, 4 Sm 3.42
7 C 0.0000 0.0000 0.0000  4 Sm 2.49, 2 Pr 2.62

***

First-principles (PBE-GGA) data for a relaxed structure of TcNi2P, as listed in the Alexandria database.

Summary:
Magnetic moment = 0.00 μB per formula unit
Formation enthalpy at 0 K = -0.08 eV/atom

a = 4.1995 Å, b = 4.1995 Å, c = 4.6422 Å
α = 78.86°, β = 78.86°, γ = 36.80°
Last column: nearest neighbours and their distance in Å.
Fractional coordinates of all 4 atoms:
1 Tc 0.2431 0.2431 0.2548  3 P 2.52-2.61, 7 Ni 2.55-2.70, 2 Tc 2.65
2 Ni 0.0033 0.0033 0.9650  5 Ni 2.38-2.65, 2 P 2.40, 3 Tc 2.55-2.59
3 Ni 0.7592 0.7592 0.7421  3 P 2.33-2.48, 3 Ni 2.38-2.48
4 P 0.4944 0.4944 0.5381  5 Ni 2.33-2.48, 3 Tc 2.52-2.61

***

Repeat the second record exactly.
First-principles (PBE-GGA) data for a relaxed structure of TcNi2P, as listed in the Alexandria database.

Summary:
Magnetic moment = 0.00 μB per formula unit
Formation enthalpy at 0 K = -0.08 eV/atom

a = 4.1995 Å, b = 4.1995 Å, c = 4.6422 Å
α = 78.86°, β = 78.86°, γ = 36.80°
Last column: nearest neighbours and their distance in Å.
Fractional coordinates of all 4 atoms:
1 Tc 0.2431 0.2431 0.2548  3 P 2.52-2.61, 7 Ni 2.55-2.70, 2 Tc 2.65
2 Ni 0.0033 0.0033 0.9650  5 Ni 2.38-2.65, 2 P 2.40, 3 Tc 2.55-2.59
3 Ni 0.7592 0.7592 0.7421  3 P 2.33-2.48, 3 Ni 2.38-2.48
4 P 0.4944 0.4944 0.5381  5 Ni 2.33-2.48, 3 Tc 2.52-2.61